This record from Alexandria describes crystalline CeTl2SbS4 at its relaxed geometry. The functional is PBE.

The total energy is -4.753 eV/atom. As for the calculated density: 6.1 g/cm³. The value obtained for the magnetic moment is 3.518 μB/cell. The raw formation energy comes out at -840 meV/atom.

It has space group Imma (No. 74), with a = 8.5127 Å, b = 8.5444 Å, c = 12.0003 Å, α = 90.00°, β = 90.00° and γ = 90.00°. The distinct sites, in fractional coordinates, are Ce at (0.2500, 0.2500, 0.2500), Tl at (0.0000, 0.0000, 0.0000), Tl at (0.2500, 0.2500, 0.7500), Sb at (0.0000, 0.0000, 0.5000), S at (0.0000, 0.0298, 0.2671) and S at (0.2179, 0.2500, 0.4866).